(1)
# Dy6Y2ErTm3 GGA-PBE optimized geometry
# Formation energy ... 22 meV/atom
# V ... 31.1 Å³/atom
# Magnetic moment ... 0.0000 μB/atom
# Density of states at the Fermi level ... 33.5 states/eV per cell
# VASP energy ... -4.8546 eV per atom
data_Dy6Y2ErTm3
_chemical_formula_sum 'Dy12 Y4 Er2 Tm6'
_symmetry_space_group_name_H-M 'C 1 2/m 1'
_symmetry_Int_Tables_number 12
_cell_length_a 6.1189
_cell_length_b 10.5858
_cell_length_c 11.6906
_cell_angle_alpha 90.00
_cell_angle_beta 100.01
_cell_angle_gamma 90.00
loop_
_symmetry_equiv_pos_as_xyz
'x,y,z'
'-x,-y,-z'
'-x,y,-z'
'x,-y,z'
'x+1/2,y+1/2,z'
'-x+1/2,-y+1/2,-z'
'-x+1/2,y+1/2,-z'
'x+1/2,-y+1/2,z'
loop_
_atom_site_label
_atom_site_fract_x
_atom_site_fract_y
_atom_site_fract_z
Dy1 0.2482 0.0000 0.2480
Dy2 0.2494 0.3337 0.2480
Y1 0.0000 0.3334 0.5000
Er1 0.0000 0.0000 0.5000
Tm1 0.0000 0.1667 0.0000
Tm2 0.0000 0.5000 0.0000

=====

(2)
# DyYErTm2 GGA-PBE optimized geometry
# Formation energy ... 396 meV/atom
# V ... 33.5 Å³/atom
# Magnetic moment ... 0.0000 μB/atom
# Density of states at the Fermi level ... 25.9 states/eV per cell
# VASP energy ... -4.5185 eV per atom
data_DyYErTm2
_chemical_formula_sum 'Dy4 Y4 Er4 Tm8'
_symmetry_space_group_name_H-M 'C m c m'
_symmetry_Int_Tables_number 63
_symmetry_space_group_name_Hall '-C 2c 2'
_cell_length_a 8.2580
_cell_length_b 11.3419
_cell_length_c 7.1502
_cell_angle_alpha 90.00
_cell_angle_beta 90.00
_cell_angle_gamma 90.00
loop_
_atom_site_label
_atom_site_fract_x
_atom_site_fract_y
_atom_site_fract_z
Dy1 0.0000 0.2177 0.2500
Y1 0.0000 0.2291 0.7500
Er1 0.0000 0.4904 0.2500
Tm1 0.1903 0.0000 0.0000

=====

(3)
# Dy2ErTm5Zr GGA-PBE optimized geometry
# Formation energy ... 176 meV/atom
# V ... 30.2 Å³/atom
# Magnetic moment ... 0.0000 μB/atom
# Density of states at the Fermi level ... 54.2 states/eV per cell
# VASP energy ... -4.7877 eV per atom
data_Dy2ErTm5Zr
_chemical_formula_sum 'Dy8 Er4 Tm20 Zr4'
_symmetry_space_group_name_H-M 'C m c 21'
_symmetry_Int_Tables_number 36
_cell_length_a 5.4456
_cell_length_b 20.1444
_cell_length_c 9.8969
_cell_angle_alpha 90.00
_cell_angle_beta 90.00
_cell_angle_gamma 90.00
loop_
_symmetry_equiv_pos_as_xyz
'x,y,z'
'-x,-y,z+1/2'
'-x,y,z'
'x,-y,z+1/2'
'x+1/2,y+1/2,z'
'-x+1/2,-y+1/2,z+1/2'
'-x+1/2,y+1/2,z'
'x+1/2,-y+1/2,z+1/2'
loop_
_atom_site_label
_atom_site_fract_x
_atom_site_fract_y
_atom_site_fract_z
Dy1 0.0000 0.1106 0.0000
Dy2 0.0000 0.1205 0.4217
Er1 0.0000 0.4037 0.1361
Tm1 0.0000 0.0158 0.7028
Tm2 0.0000 0.2670 0.0220
Tm3 0.0000 0.3001 0.3892
Tm4 0.0000 0.3670 0.7117
Tm5 0.0000 0.4819 0.4275
Zr1 0.0000 0.1897 0.7081

=====

(4)
# DyEr2Tm5Zr GGA-PBE optimized geometry
# Formation energy ... 173 meV/atom
# V ... 30.3 Å³/atom
# Magnetic moment ... 0.0000 μB/atom
# Density of states at the Fermi level ... 49.1 states/eV per cell
# VASP energy ... -4.7858 eV per atom
data_DyEr2Tm5Zr
_chemical_formula_sum 'Dy4 Er8 Tm20 Zr4'
_symmetry_space_group_name_H-M 'C m c 21'
_symmetry_Int_Tables_number 36
_cell_length_a 5.5387
_cell_length_b 21.3356
_cell_length_c 9.2420
_cell_angle_alpha 90.00
_cell_angle_beta 90.00
_cell_angle_gamma 90.00
loop_
_symmetry_equiv_pos_as_xyz
'x,y,z'
'-x,-y,z+1/2'
'-x,y,z'
'x,-y,z+1/2'
'x+1/2,y+1/2,z'
'-x+1/2,-y+1/2,z+1/2'
'-x+1/2,y+1/2,z'
'x+1/2,-y+1/2,z+1/2'
loop_
_atom_site_label
_atom_site_fract_x
_atom_site_fract_y
_atom_site_fract_z
Dy1 0.0000 0.0987 0.0000
Er1 0.0000 0.3663 0.2868
Er2 0.0000 0.3855 0.8933
Tm1 0.0000 0.0291 0.3198
Tm2 0.0000 0.1053 0.6178
Tm3 0.0000 0.1959 0.2845
Tm4 0.0000 0.2317 0.9007
Tm5 0.0000 0.4855 0.5853
Zr1 0.0000 0.3156 0.5913

=====

(5)
# Dy2Er3Tm6Zr GGA-PBE optimized geometry
# Formation energy ... 44 meV/atom
# V ... 29.6 Å³/atom
# Magnetic moment ... 0.0001 μB/atom
# Density of states at the Fermi level ... 31.0 states/eV per cell
# VASP energy ... -4.8122 eV per atom
data_Dy2Er3Tm6Zr
_chemical_formula_sum 'Dy4 Er6 Tm12 Zr2'
_symmetry_space_group_name_H-M 'C 1 2/m 1'
_symmetry_Int_Tables_number 12
_cell_length_a 6.0190
_cell_length_b 10.4084
_cell_length_c 11.4985
_cell_angle_alpha 90.00
_cell_angle_beta 100.00
_cell_angle_gamma 90.00
loop_
_symmetry_equiv_pos_as_xyz
'x,y,z'
'-x,-y,-z'
'-x,y,-z'
'x,-y,z'
'x+1/2,y+1/2,z'
'-x+1/2,-y+1/2,-z'
'-x+1/2,y+1/2,-z'
'x+1/2,-y+1/2,z'
loop_
_atom_site_label
_atom_site_fract_x
_atom_site_fract_y
_atom_site_fract_z
Dy1 0.0000 0.1669 0.0000
Er1 0.0000 0.0000 0.5000
Er2 0.0000 0.3334 0.5000
Tm1 0.2453 0.3366 0.2458
Tm2 0.2449 0.5000 0.7547
Zr1 0.0000 0.5000 0.0000

=====

(6)
# Dy3Er6Tm2Zr GGA-PBE optimized geometry
# Formation energy ... 40 meV/atom
# V ... 29.8 Å³/atom
# Magnetic moment ... 0.0001 μB/atom
# Density of states at the Fermi level ... 30.3 states/eV per cell
# VASP energy ... -4.8495 eV per atom
data_Dy3Er6Tm2Zr
_chemical_formula_sum 'Dy6 Er12 Tm4 Zr2'
_symmetry_space_group_name_H-M 'C 1 2/m 1'
_symmetry_Int_Tables_number 12
_cell_length_a 6.0351
_cell_length_b 10.4337
_cell_length_c 11.5261
_cell_angle_alpha 90.00
_cell_angle_beta 99.98
_cell_angle_gamma 90.00
loop_
_symmetry_equiv_pos_as_xyz
'x,y,z'
'-x,-y,-z'
'-x,y,-z'
'x,-y,z'
'x+1/2,y+1/2,z'
'-x+1/2,-y+1/2,-z'
'-x+1/2,y+1/2,-z'
'x+1/2,-y+1/2,z'
loop_
_atom_site_label
_atom_site_fract_x
_atom_site_fract_y
_atom_site_fract_z
Dy1 0.0000 0.0000 0.0000
Dy2 0.0000 0.3334 0.0000
Er1 0.2446 0.3364 0.7439
Er2 0.2457 0.5000 0.2567
Tm1 0.0000 0.1669 0.5000
Zr1 0.0000 0.5000 0.5000

=====

(7)
# Dy2Er6Tm3Zr GGA-PBE optimized geometry
# Formation energy ... 44 meV/atom
# V ... 29.7 Å³/atom
# Magnetic moment ... 0.0000 μB/atom
# Density of states at the Fermi level ... 30.5 states/eV per cell
# VASP energy ... -4.8348 eV per atom
data_Dy2Er6Tm3Zr
_chemical_formula_sum 'Dy4 Er12 Tm6 Zr2'
_symmetry_space_group_name_H-M 'C 1 2/m 1'
_symmetry_Int_Tables_number 12
_cell_length_a 6.0262
_cell_length_b 10.4176
_cell_length_c 11.5179
_cell_angle_alpha 90.00
_cell_angle_beta 99.97
_cell_angle_gamma 90.00
loop_
_symmetry_equiv_pos_as_xyz
'x,y,z'
'-x,-y,-z'
'-x,y,-z'
'x,-y,z'
'x+1/2,y+1/2,z'
'-x+1/2,-y+1/2,-z'
'-x+1/2,y+1/2,-z'
'x+1/2,-y+1/2,z'
loop_
_atom_site_label
_atom_site_fract_x
_atom_site_fract_y
_atom_site_fract_z
Dy1 0.0000 0.1669 0.0000
Er1 0.2449 0.5000 0.7541
Er2 0.2456 0.3364 0.2465
Tm1 0.0000 0.0000 0.5000
Tm2 0.0000 0.3334 0.5000
Zr1 0.0000 0.5000 0.0000

=====

(8)
# DyErV GGA-PBE optimized geometry
# Formation energy ... 365 meV/atom
# V ... 26.1 Å³/atom
# Magnetic moment ... 0.0001 μB/atom
# Density of states at the Fermi level ... 17.1 states/eV per cell
# VASP energy ... -5.7297 eV per atom
data_DyErV
_chemical_formula_sum 'Dy4 Er4 V4'
_symmetry_space_group_name_H-M 'C 1 2/m 1'
_symmetry_Int_Tables_number 12
_cell_length_a 6.6832
_cell_length_b 5.4310
_cell_length_c 9.2200
_cell_angle_alpha 90.00
_cell_angle_beta 110.39
_cell_angle_gamma 90.00
loop_
_symmetry_equiv_pos_as_xyz
'x,y,z'
'-x,-y,-z'
'-x,y,-z'
'x,-y,z'
'x+1/2,y+1/2,z'
'-x+1/2,-y+1/2,-z'
'-x+1/2,y+1/2,-z'
'x+1/2,-y+1/2,z'
loop_
_atom_site_label
_atom_site_fract_x
_atom_site_fract_y
_atom_site_fract_z
Dy1 0.0889 0.0000 0.1848
Er1 0.1813 0.5000 0.3775
V1 0.1428 0.5000 0.0000

=====

(9)
# DyErV4 GGA-PBE optimized geometry
# Formation energy ... 356 meV/atom
# V ... 18.2 Å³/atom
# Magnetic moment ... 0.0000 μB/atom
# Density of states at the Fermi level ... 63.4 states/eV per cell
# VASP energy ... -7.2510 eV per atom
data_DyErV4
_chemical_formula_sum 'Dy4 Er4 V16'
_symmetry_space_group_name_H-M 'F -4 3 m'
_symmetry_Int_Tables_number 216
_symmetry_space_group_name_Hall 'F -4 2 3'
_cell_length_a 7.5922
_cell_length_b 7.5922
_cell_length_c 7.5922
_cell_angle_alpha 90.00
_cell_angle_beta 90.00
_cell_angle_gamma 90.00
loop_
_atom_site_label
_atom_site_fract_x
_atom_site_fract_y
_atom_site_fract_z
Dy1 0.0000 0.0000 0.0000
Er1 0.2500 0.2500 0.7500
V1 0.1230 0.1230 0.3770

=====

(10)
# DyEr2V GGA-PBE optimized geometry
# Formation energy ... 597 meV/atom
# V ... 27.5 Å³/atom
# Magnetic moment ... 0.7707 μB/atom
# Density of states at the Fermi level ... 19.8 states/eV per cell
# VASP energy ... -5.1147 eV per atom
data_DyEr2V
_chemical_formula_sum 'Dy3 Er6 V3'
_symmetry_space_group_name_H-M 'R -3 m'
_symmetry_Int_Tables_number 166
_symmetry_space_group_name_Hall '-R 3 2"'
_cell_length_a 3.3475
_cell_length_b 3.3475
_cell_length_c 34.0538
_cell_angle_alpha 90.00
_cell_angle_beta 90.00
_cell_angle_gamma 120.00
loop_
_atom_site_label
_atom_site_fract_x
_atom_site_fract_y
_atom_site_fract_z
Dy1 0.0000 0.0000 0.0000
Er1 0.0000 0.0000 0.4179
V1 0.0000 0.0000 0.5000

=====

(11)
# DyErW GGA-PBE optimized geometry
# Formation energy ... 200 meV/atom
# V ... 25.1 Å³/atom
# Magnetic moment ... 0.0000 μB/atom
# Density of states at the Fermi level ... 8.4 states/eV per cell
# VASP energy ... -7.1728 eV per atom
data_DyErW
_chemical_formula_sum 'Dy2 Er2 W2'
_symmetry_space_group_name_H-M 'P 4/n m m'
_symmetry_Int_Tables_number 129
_cell_length_a 3.3357
_cell_length_b 3.3357
_cell_length_c 13.5522
_cell_angle_alpha 90.00
_cell_angle_beta 90.00
_cell_angle_gamma 90.00
loop_
_symmetry_equiv_pos_as_xyz
'x,y,z'
'-x,-y,-z'
'-y+1/2,x,z'
'y+1/2,-x,-z'
'-x+1/2,-y+1/2,z'
'x+1/2,y+1/2,-z'
'y,-x+1/2,z'
'-y,x+1/2,-z'
'x+1/2,-y,-z'
'-x+1/2,y,z'
'-y,-x,-z'
'y,x,z'
'-x,y+1/2,-z'
'x,-y+1/2,z'
'y+1/2,x+1/2,-z'
'-y+1/2,-x+1/2,z'
loop_
_atom_site_label
_atom_site_fract_x
_atom_site_fract_y
_atom_site_fract_z
Dy1 0.2500 0.2500 0.1975
Er1 0.2500 0.2500 0.5926
W1 0.2500 0.2500 0.9515

=====

(12)
# Dy3YEr7 GGA-PBE optimized geometry
# Formation energy ... 155 meV/atom
# V ... 31.8 Å³/atom
# Magnetic moment ... 0.0000 μB/atom
# Density of states at the Fermi level ... 19.0 states/eV per cell
# VASP energy ... -4.5917 eV per atom
data_Dy3YEr7
_chemical_formula_sum 'Dy3 Y1 Er7'
_symmetry_space_group_name_H-M 'P 1 2/m 1'
_symmetry_Int_Tables_number 10
_cell_length_a 6.9196
_cell_length_b 5.4712
_cell_length_c 9.8319
_cell_angle_alpha 90.00
_cell_angle_beta 110.06
_cell_angle_gamma 90.00
loop_
_symmetry_equiv_pos_as_xyz
'x,y,z'
'-x,-y,-z'
'-x,y,-z'
'x,-y,z'
loop_
_atom_site_label
_atom_site_fract_x
_atom_site_fract_y
_atom_site_fract_z
Dy1 0.0000 0.0000 0.0000
Dy2 0.2203 0.5000 0.5020
Y1 0.5000 0.0000 0.0000
Er1 0.0803 0.0000 0.6693
Er2 0.1795 0.5000 0.8590
Er3 0.3523 0.5000 0.2095
Er4 0.5000 0.0000 0.5000